The following is a DFT calculation (PBE) of crystalline Pu2Ge3AsPd4 at its relaxed geometry.

The structure belongs to space group P-4m2 (No. 115); the cell edges are 4.3930, 4.3930 and 9.9543 Å and the angles 90.00°, 90.00° and 90.00°. Symmetry generates all atoms from Pu at (0.0000, 0.5000, 0.2442), Ge at (0.0000, 0.0000, 0.0000), Ge at (0.0000, 0.5000, 0.6276), As at (0.5000, 0.5000, 0.0000), Pd at (0.0000, 0.0000, 0.5000), Pd at (0.0000, 0.5000, 0.8729) and Pd at (0.5000, 0.5000, 0.5000).

Its calculated formation energy is -583 meV/atom. Its density is 10.4 g/cm³. As for the crystal system: tetragonal.

=====

The following is a DFT calculation (PBE) of crystalline Sm2GeAs3Pd4 at its relaxed geometry.

The structure belongs to space group P-4m2 (No. 115); the cell edges are 4.2776, 4.2776 and 10.5147 Å and the angles 90.00°, 90.00° and 90.00°. Symmetry generates all atoms from Sm at (0.0000, 0.5000, 0.2428), Ge at (0.0000, 0.0000, 0.5000), As at (0.0000, 0.5000, 0.8641), As at (0.5000, 0.5000, 0.5000), Pd at (0.0000, 0.0000, 0.0000), Pd at (0.0000, 0.5000, 0.6319) and Pd at (0.5000, 0.5000, 0.0000).

Its calculated formation energy is -848 meV/atom. Its density is 8.8 g/cm³. As for the crystal system: tetragonal.

=====

The following is a DFT calculation (PBE) of crystalline SrGe2AsPd at its relaxed geometry.

The structure belongs to space group P4/mmm (No. 123); the cell edges are 5.5554, 5.5554 and 5.4816 Å and the angles 90.00°, 90.00° and 90.00°. Symmetry generates all atoms from Sr at (0.0000, 0.0000, 0.0000), Ge at (0.0000, 0.5000, 0.0000), As at (0.0000, 0.0000, 0.5000) and Pd at (0.5000, 0.5000, 0.5000).

Its calculated formation energy is 1361 meV/atom. Its density is 4.1 g/cm³. As for the crystal system: tetragonal.

=====

The following is a DFT calculation (PBE) of crystalline Sr3GeAs2Pd9 at its relaxed geometry.

The structure belongs to space group P-3m1 (No. 164); the cell edges are 6.5765, 6.5765 and 8.8135 Å and the angles 90.00°, 90.00° and 120.00°. Symmetry generates all atoms from Sr at (0.0000, 0.0000, 0.0000), Sr at (0.3333, 0.6667, 0.6617), Ge at (0.0000, 0.0000, 0.5000), As at (0.3333, 0.6667, 0.1804), Pd at (0.0000, 0.5000, 0.0000) and Pd at (0.1427, 0.2854, 0.2924).

Its calculated formation energy is -577 meV/atom. Its density is 7.3 g/cm³. As for the crystal system: trigonal.

=====

The following is a DFT calculation (PBE) of crystalline GeTe2AsPd at its relaxed geometry.

The structure belongs to space group P4/mmm (No. 123); the cell edges are 5.5323, 5.5323 and 4.6238 Å and the angles 90.00°, 90.00° and 90.00°. Symmetry generates all atoms from Ge at (0.0000, 0.0000, 0.0000), Te at (0.0000, 0.5000, 0.5000), As at (0.5000, 0.5000, 0.5000) and Pd at (0.5000, 0.5000, 0.0000).

The formation energy without anion corrections comes out at 0.4721 eV/atom. Its density is 6.0 g/cm³. As for the crystal system: tetragonal.

=====

The following is a DFT calculation (PBE) of crystalline Pm5GeAs4 at its relaxed geometry.

The structure belongs to space group I4/m (No. 87); the cell edges are 9.4836, 9.4836 and 5.9956 Å and the angles 90.00°, 90.00° and 90.00°. Symmetry generates all atoms from Pm at (0.0000, 0.0000, 0.0000), Pm at (0.1018, 0.3028, 0.5000), Ge at (0.0000, 0.0000, 0.5000) and As at (0.0996, 0.3004, 0.0000).

Its calculated formation energy is -1346 meV/atom. Its density is 6.8 g/cm³. As for the crystal system: tetragonal.

=====

| no. | E (eV per atom) |
| --- | --- |
| 1 | -7.38 |
| 2 | -5.73 |
| 3 | -2.79 |
| 4 | -4.96 |
| 5 | -3.68 |
| 6 | -6.04 |